## Sc2MnSiO6 (GGA+U)

Data for a relaxed Sc2MnSiO6 crystal.

```
Sc2MnSiO6
1.0
2.598 1.500 4.622
-2.598 1.500 4.622
0.000 -3.000 4.622
Sc Mn Si O
2 1 1 6
Cartesian
0.000 0.000 0.000 Sc
0.000 0.000 6.812 Sc
0.000 0.000 3.011 Mn
0.000 0.000 9.686 Si
-1.050 -1.619 5.980 O
-1.427 0.001 8.485 O
-0.877 1.719 5.980 O
0.713 -1.236 8.485 O
1.928 -0.100 5.980 O
0.714 1.235 8.485 O
```

Calculated values
Raw total energy: -83.70 eV/cell